[1]
DFT (PBE) results for MoRhPb after structural relaxation.

Cell: 6.2417 6.2417 6.2417 Å, 90.00 90.00 90.00°
Last column: nearest neighbours and their distance in Å.
Space group F-43m (No. 216)
Symmetry-distinct sites (fractional):
Mo 0.0000 0.0000 0.0000 [4 per cell]  4 Rh 2.70
Rh 0.2500 0.2500 0.7500 [4 per cell]  4 Pb 2.70, 4 Mo 2.70
Pb 0.0000 0.0000 0.5000 [4 per cell]  4 Rh 2.70

Calculated total energy, eV per cell: -83.11
Calculated density, g cm⁻³: 11.091

---

[2]
DFT (PBE) results for Mo2RhPb after structural relaxation.

Cell: 2.9785 2.9785 7.8448 Å, 90.00 90.00 90.00°
Last column: nearest neighbours and their distance in Å.
Space group P4/mmm (No. 123)
Symmetry-distinct sites (fractional):
Mo 0.0000 0.0000 0.2242 [2 per cell]  4 Rh 2.74, 4 Mo 2.98, 4 Pb 3.02
Rh 0.5000 0.5000 0.0000 [1 per cell]  8 Mo 2.74, 4 Rh 2.98
Pb 0.5000 0.5000 0.5000 [1 per cell]  4 Pb 2.98, 8 Mo 3.02

Calculated total energy, eV per cell: -30.69
Calculated density, g cm⁻³: 11.978

---

[3]
DFT (PBE) results for Mo2RhPb after structural relaxation.

Cell: 3.1337 3.1337 26.2656 Å, 90.00 90.00 120.00°
Last column: nearest neighbours and their distance in Å.
Space group R3m (No. 160, hexagonal axes)
Symmetry-distinct sites (fractional):
Mo 0.0000 0.0000 0.0000 [3 per cell]  3 Mo 2.55, 3 Rh 2.69
Mo 0.0000 0.0000 0.2652 [3 per cell]  3 Mo 2.55
Rh 0.0000 0.0000 0.7423 [3 per cell]  3 Mo 2.69, 3 Pb 2.96
Pb 0.0000 0.0000 0.4981 [3 per cell]  3 Rh 2.96, 6 Pb 3.13, 3 Mo 3.20

Calculated total energy, eV per cell: -93.56
Calculated density, g cm⁻³: 11.195

---

[4]
DFT (PBE) results for MoRh2Pb after structural relaxation.

Cell: 2.9496 3.9366 5.9017 Å, 90.00 90.00 90.00°
Last column: nearest neighbours and their distance in Å.
Space group Pmm2 (No. 25)
Symmetry-distinct sites (fractional):
Mo 0.0000 0.0000 0.0000 [1 per cell]  5 Rh 2.60-2.68
Rh 0.0000 0.0000 0.5599 [1 per cell]  1 Mo 2.60, 4 Pb 2.85, 4 Rh 2.90
Rh 0.5000 0.5000 0.8192 [1 per cell]  4 Mo 2.68, 6 Rh 2.90-2.95, 2 Pb 2.94-2.96
Pb 0.5000 0.5000 0.3174 [1 per cell]  6 Rh 2.85-2.96, 2 Pb 2.95, 4 Mo 3.09

Calculated total energy, eV per cell: -28.33
Calculated density, g cm⁻³: 12.333

---

[5]
DFT (PBE) results for MoRhPb3 after structural relaxation.

Cell: 5.3295 5.3295 5.3295 Å, 90.00 90.00 90.00°
Last column: nearest neighbours and their distance in Å.
Space group Pm-3m (No. 221)
Symmetry-distinct sites (fractional):
Mo 0.0000 0.0000 0.0000 [1 per cell]  6 Pb 2.66
Rh 0.5000 0.5000 0.5000 [1 per cell]  12 Pb 3.77
Pb 0.0000 0.0000 0.5000 [3 per cell]  2 Mo 2.66

Calculated total energy, eV per cell: -23.88
Calculated density, g cm⁻³: 9.000

---

[6]
DFT (PBE) results for Mo2RhPb after structural relaxation.

Cell: 2.9523 2.9523 28.2045 Å, 90.00 90.00 120.00°
Last column: nearest neighbours and their distance in Å.
Space group R-3m (No. 166, hexagonal axes)
Symmetry-distinct sites (fractional):
Mo 0.0000 0.0000 0.2423 [6 per cell]  3 Rh 2.73, 6 Mo 2.95
Rh 0.0000 0.0000 0.5000 [3 per cell]  6 Mo 2.73, 6 Rh 2.95
Pb 0.0000 0.0000 0.0000 [3 per cell]  6 Pb 2.95, 6 Mo 3.08

Calculated total energy, eV per cell: -91.39
Calculated density, g cm⁻³: 11.746

---

Number 1: E_form 0.371 eV/atom. Number 2: E_form 0.507 eV/atom. Number 3: E_form 0.384 eV/atom. Number 4: E_form 0.229 eV/atom. Number 5: E_form 1.086 eV/atom. Number 6: E_form 0.564 eV/atom.